The following is a DFT calculation (PBE) of a relaxed Tb2Y2Ni15 crystal.

Properties
Formation energy, eV per atom: -0.22
E, Ha/atom: -0.21885
Fermi-level density of states, states/eV per cell: 25.31

Cell: 6.483 6.483 6.483 Å, 82.39 82.39 82.39°
Atoms (fractional coordinates):
Tb1 0.111 0.111 0.111
Tb2 0.889 0.889 0.889
Y1 0.361 0.361 0.361
Y2 0.639 0.639 0.639
Ni1 0.000 0.000 0.500
Ni2 0.000 0.313 0.687
Ni3 0.000 0.500 0.000
Ni4 0.000 0.687 0.313
Ni5 0.169 0.651 0.651
Ni6 0.313 0.000 0.687
Ni7 0.313 0.687 0.000
Ni8 0.349 0.349 0.831
Ni9 0.349 0.831 0.349
Ni10 0.500 0.000 0.000
Ni11 0.651 0.169 0.651
Ni12 0.651 0.651 0.169
Ni13 0.687 0.000 0.313
Ni14 0.687 0.313 0.000
Ni15 0.831 0.349 0.349